Gd2HgIr | PBE | relaxed

Lattice parameters (Å, degrees): 7.1935 7.1935 7.1935 90.00 90.00 90.00
Space group Fm-3m (No. 225)
Unique sites:
Gd1 0.2500 0.2500 0.2500 x8
Hg1 0.0000 0.0000 0.0000 x4
Ir1 0.0000 0.0000 0.5000 x4

Values from the calculation:
density of states at the Fermi level = 8.8 states/eV/cell
E above lowest polymorph = 72 meV per atom
volume = 23.3 A^3/atom
ΔH_f (0 K) = -0.58 eV/atom